Below is Cs2PdF7 after structural relaxation, with properties calculated at the PBE level.

Calculated values
Raw total energy ... -3.7560 eV per atom

Lattice parameters (Å, degrees): 8.181 8.181 11.150 128.08 128.08 46.79
Atoms (fractional coordinates):
Cs  0.099  0.229  0.068
Cs  0.229  0.099  0.568
Cs  0.771  0.901  0.432
Cs  0.901  0.771  0.932
Pd  0.454  0.546  0.750
Pd  0.546  0.454  0.250
F  0.157  0.843  0.750
F  0.180  0.651  0.237
F  0.292  0.403  0.524
F  0.322  0.522  0.833
F  0.349  0.820  0.263
F  0.403  0.292  0.024
F  0.478  0.678  0.667
F  0.522  0.322  0.333
F  0.597  0.708  0.976
F  0.651  0.180  0.737
F  0.678  0.478  0.167
F  0.708  0.597  0.476
F  0.820  0.349  0.763
F  0.843  0.157  0.250

---

Below is ZnCu3Ge after structural relaxation, with properties calculated at the PBE level.

Calculated values
Energy above the lowest structure with this stoichiometry ... 558 meV/atom
Formation enthalpy at 0 K ... 0.563 eV per atom

Lattice parameters (Å, degrees): 4.503 4.503 4.503 90.00 90.00 90.00
Atoms (fractional coordinates):
Zn  0.000  0.000  0.000
Cu  0.000  0.500  0.500
Cu  0.500  0.000  0.500
Cu  0.500  0.500  0.000
Ge  0.500  0.500  0.500

---

Below is SmYPd2 after structural relaxation, with properties calculated at the PBE level.

Calculated values
Energy above the lowest structure with this stoichiometry ... 43 meV/atom
Formation enthalpy at 0 K ... -0.830 eV per atom

Lattice parameters (Å, degrees): 5.076 5.076 3.470 90.00 90.00 90.00
Atoms (fractional coordinates):
Sm  0.000  0.000  0.000
Y  0.500  0.500  0.000
Pd  0.000  0.500  0.500
Pd  0.500  0.000  0.500

---

Below is Mg2InRu after structural relaxation, with properties calculated at the PBE level.

Calculated values
Formation enthalpy at 0 K ... -0.030 eV per atom

Lattice parameters (Å, degrees): 3.445 3.445 6.225 90.00 90.00 90.00
Atoms (fractional coordinates):
Mg  0.000  0.000  0.000
Mg  0.500  0.500  0.274
In  0.500  0.500  0.719
Ru  0.000  0.000  0.486

---

Below is YZnGaNi after structural relaxation, with properties calculated at the PBE level.

Calculated values
Formation enthalpy at 0 K ... -0.362 eV per atom

Lattice parameters (Å, degrees): 4.574 4.574 4.574 60.00 60.00 60.00
Atoms (fractional coordinates):
Y  0.000  0.000  0.000
Zn  0.750  0.750  0.750
Ga  0.500  0.500  0.500
Ni  0.250  0.250  0.250

---

Below is Mo after structural relaxation, with properties calculated at the PBE level.

Calculated values
Energy above the lowest structure with this stoichiometry ... 388 meV/atom
Formation enthalpy at 0 K ... 0.388 eV per atom

Lattice parameters (Å, degrees): 5.129 5.129 9.620 113.04 113.04 34.79
Atoms (fractional coordinates):
Mo  0.022  0.022  0.175
Mo  0.125  0.125  0.458
Mo  0.326  0.326  0.946
Mo  0.344  0.344  0.303
Mo  0.656  0.656  0.697
Mo  0.674  0.674  0.054
Mo  0.875  0.875  0.542
Mo  0.978  0.978  0.825

---

Below is Pr2SmDyTm2 after structural relaxation, with properties calculated at the PBE level.

Calculated values
Formation enthalpy at 0 K ... 0.075 eV per atom

Lattice parameters (Å, degrees): 5.678 10.006 6.964 90.00 90.00 90.00
Atoms (fractional coordinates):
Pr  0.000  0.019  0.000
Pr  0.000  0.981  0.500
Pr  0.500  0.192  0.263
Pr  0.500  0.808  0.763
Sm  0.000  0.318  0.689
Sm  0.000  0.682  0.189
Dy  0.500  0.484  0.950
Dy  0.500  0.516  0.450
Tm  0.000  0.360  0.197
Tm  0.000  0.640  0.697
Tm  0.500  0.145  0.754
Tm  0.500  0.855  0.254

---

Below is MoAs2PSe after structural relaxation, with properties calculated at the PBE level.

Calculated values
Energy above the lowest structure with this stoichiometry ... 227 meV/atom

Lattice parameters (Å, degrees): 4.635 4.635 4.824 90.00 90.00 90.00
Atoms (fractional coordinates):
Mo  0.000  0.000  0.000
As  0.000  0.500  0.500
As  0.500  0.000  0.500
P  0.500  0.500  0.500
Se  0.500  0.500  0.000

---

Below is CaLaP2Pb after structural relaxation, with properties calculated at the PBE level.

Calculated values
Formation enthalpy at 0 K ... 0.453 eV per atom

Lattice parameters (Å, degrees): 5.444 5.444 5.357 90.00 90.00 90.00
Atoms (fractional coordinates):
Ca  0.000  0.000  0.000
La  0.500  0.500  0.000
P  0.000  0.500  0.500
P  0.500  0.000  0.500
Pb  0.000  0.000  0.500

---

Below is Tb3GdCu after structural relaxation, with properties calculated at the PBE level.

Calculated values
Formation enthalpy at 0 K ... 0.111 eV per atom

Lattice parameters (Å, degrees): 5.396 5.396 5.396 90.00 90.00 90.00
Atoms (fractional coordinates):
Tb  0.000  0.000  0.500
Tb  0.000  0.500  0.000
Tb  0.500  0.000  0.000
Gd  0.500  0.500  0.500
Cu  0.000  0.000  0.000

---

Below is PuTaP2 after structural relaxation, with properties calculated at the PBE level.

Calculated values
Energy above the lowest structure with this stoichiometry ... 0 meV/atom
Formation enthalpy at 0 K ... -0.967 eV per atom

Lattice parameters (Å, degrees): 6.512 6.512 6.512 33.41 33.41 33.41
Atoms (fractional coordinates):
Pu  0.000  0.000  0.000
Ta  0.500  0.500  0.500
P  0.242  0.242  0.242
P  0.758  0.758  0.758

---

Below is Sm2HfMgP4 after structural relaxation, with properties calculated at the PBE level.

Calculated values
Formation enthalpy at 0 K ... -1.190 eV per atom

Lattice parameters (Å, degrees): 6.752 3.941 6.877 90.00 109.97 90.00
Atoms (fractional coordinates):
Sm  0.000  0.000  0.000
Sm  0.000  0.500  0.500
Hf  0.500  0.000  0.500
Mg  0.500  0.500  0.000
P  0.272  0.500  0.264
P  0.274  0.000  0.752
P  0.726  0.000  0.248
P  0.728  0.500  0.736